Entry from Alexandria: an optimized crystal structure of Sr2NiMoPt (PBE).

Structure (POSCAR):
```
Sr2NiMoPt
1.0
5.587 0.000 0.000
0.000 4.447 0.000
0.000 0.000 5.587
Sr Mo Pt Ni
2 1 1 1
direct
0.000 0.000 0.500 Sr
0.500 0.000 0.000 Sr
0.000 0.500 0.000 Mo
0.500 0.500 0.500 Pt
0.000 0.000 0.000 Ni
```

Summary:
uncorrected energy: -23.16 eV for the cell shown
DOS at the Fermi energy: 3.299 states/eV/f.u.
space-group type: P4/mmm (123)
ρ: 6.281 g/cm³